No. 1
Material: CdTc3
Method: DFT, GGA-PBE
State: relaxed

```
CdTc3
1.0
2.808 0.000 0.000
0.000 2.808 0.000
0.000 0.000 8.073
Cd Tc
1 3
Direct
0.000 0.000 0.000 Cd
0.000 0.000 0.500 Tc
0.500 0.500 0.276 Tc
0.500 0.500 0.724 Tc
```

Space-group type   P4/mmm
V   15.9 A^3/atom
Energy relative to the elements   0.2562 eV per atom
Offset from the most stable computed form   0.055 eV per atom

No. 2
Material: TeBrCl
Method: DFT, GGA-PBE
State: relaxed

```
TeBrCl
1.0
4.195 0.000 0.000
-1.664 7.014 0.000
-0.864 -3.433 7.759
Te Br Cl
2 2 2
Direct
0.000 0.000 0.000 Te
0.302 0.664 0.914 Te
0.056 0.777 0.647 Br
0.715 0.336 0.802 Br
0.059 0.128 0.307 Cl
0.405 0.657 0.194 Cl
```

Space-group type   P1
V   38.0 A^3/atom
Formation energy from raw total energies   -36 kJ/mol of atoms
Offset from the most stable computed form   0.000 eV per atom

No. 3
Material: NiMoW2
Method: DFT, GGA-PBE
State: relaxed

```
NiMoW2
1.0
2.712 -4.416 0.000
2.712 4.416 0.000
-0.921 0.000 2.505
Ni Mo W
1 1 2
Direct
0.000 0.000 0.000 Ni
0.500 0.500 0.000 Mo
0.000 0.500 0.500 W
0.500 0.000 0.500 W
```

Space-group type   C2/m
V   15.0 A^3/atom
Energy relative to the elements   0.1659 eV per atom
Offset from the most stable computed form   0.106 eV per atom

No. 4
Material: DyThCo2Si2
Method: DFT, GGA-PBE
State: relaxed

```
DyThCo2Si2
1.0
3.974 0.000 0.000
-1.987 3.441 0.000
0.000 0.000 8.139
Dy Th Co Si
1 1 2 2
Direct
0.000 0.000 0.000 Dy
0.000 0.000 0.500 Th
0.333 0.667 0.259 Co
0.667 0.333 0.741 Co
0.333 0.667 0.763 Si
0.667 0.333 0.237 Si
```

Space-group type   P-3m1
V   18.6 A^3/atom
Formation energy from raw total energies   -66 kJ/mol of atoms

No. 5
Material: VIrSeN2
Method: DFT, GGA-PBE
State: relaxed

```
VIrSeN2
1.0
3.694 0.000 0.000
0.000 3.694 0.000
0.000 0.000 5.396
V Ir Se N
1 1 1 2
Direct
0.000 0.000 0.000 V
0.500 0.500 0.500 Ir
0.000 0.000 0.500 Se
0.000 0.500 0.000 N
0.500 0.000 0.000 N
```

Space-group type   P4/mmm
V   14.7 A^3/atom
Formation energy from raw total energies   80 kJ/mol of atoms
Offset from the most stable computed form   0.000 eV per atom

No. 6
Material: NaErCdPb
Method: DFT, GGA-PBE
State: relaxed

```
NaErCdPb
1.0
0.000 3.753 3.753
3.753 0.000 3.753
3.753 3.753 0.000
Na Er Cd Pb
1 1 1 1
Direct
0.000 0.000 0.000 Na
0.500 0.500 0.500 Er
0.750 0.750 0.750 Cd
0.250 0.250 0.250 Pb
```

Space-group type   F-43m
V   26.4 A^3/atom
Energy relative to the elements   -0.2592 eV per atom

No. 7
Material: Bi2MoIr
Method: DFT, GGA-PBE
State: relaxed

```
Bi2MoIr
1.0
0.000 3.438 3.438
3.438 0.000 3.438
3.438 3.438 0.000
Bi Mo Ir
2 1 1
Direct
0.250 0.250 0.250 Bi
0.750 0.750 0.750 Bi
0.000 0.000 0.000 Mo
0.500 0.500 0.500 Ir
```

Space-group type   Fm-3m
V   20.3 A^3/atom
Energy relative to the elements   0.6334 eV per atom
Offset from the most stable computed form   0.000 eV per atom

No. 8
Material: Cs2NaPd
Method: DFT, GGA-PBE
State: relaxed

```
Cs2NaPd
1.0
0.000 4.469 4.469
4.469 0.000 4.469
4.469 4.469 0.000
Cs Na Pd
2 1 1
Direct
0.250 0.250 0.250 Cs
0.750 0.750 0.750 Cs
0.000 0.000 0.000 Na
0.500 0.500 0.500 Pd
```

Space-group type   Fm-3m
V   44.6 A^3/atom
Energy relative to the elements   0.2436 eV per atom